Entry from the Alexandria database: Na3GaMo3O8 after structural relaxation (GGA+U).

Results
Final energy = -93.22 eV per formula unit
Spin magnetization = 0.53 μB/atom
Mass density = 4.79 g cm⁻³
V = 384.7 Å³/cell
Crystal system = monoclinic

Cell lengths 10.9355, 6.4000, 6.5785 Å; angles 90.00, 123.32, 90.00 degrees
Space group C2/m (No. 12)
Asymmetric unit:
Na1 0.0000 0.0000 0.0000
Na2 0.2500 0.2500 0.0000
Ga1 0.0000 0.0000 0.5000
Mo1 0.0000 0.5000 0.5000
Mo2 0.2500 0.2500 0.5000
O1 0.0179 0.2373 0.3078
O2 0.2232 0.0000 0.6957
O3 0.2395 0.5000 0.7044


Entry from the Alexandria database: NaGaMo2O8 after structural relaxation (GGA+U).

Results
Final energy = -75.79 eV per formula unit
Spin magnetization = 0.00 μB/atom
Mass density = 4.36 g cm⁻³
V = 314.1 Å³/cell
Crystal system = tetragonal

Cell lengths 6.9843, 6.9843, 6.4380 Å; angles 90.00, 90.00, 90.00 degrees
Space group I-4m2 (No. 119)
Asymmetric unit:
Na1 0.0000 0.0000 0.0000
Ga1 0.0000 0.5000 0.2500
Mo1 0.0000 0.0000 0.5000
Mo2 0.0000 0.5000 0.7500
O1 0.0000 0.2145 0.3419
O2 0.0000 0.3047 0.9293